# La3ScPd12

A relaxed La3ScPd12 crystal (GGA-PBE, Alexandria via LeMat-Bulk).

Lattice parameters (Å, degrees): 4.1868 4.1868 16.6316 90.00 90.00 90.00
Last column: nearest neighbours and their distance in Å.
Space group P4/mmm (No. 123)
Inequivalent atoms, fractional coordinates:
La 0.0000 0.0000 0.0000 (multiplicity 1)  12 Pd 2.96-2.99
La 0.0000 0.0000 0.2583 (multiplicity 2)  12 Pd 2.96-3.01
Sc 0.0000 0.0000 0.5000 (multiplicity 1)  12 Pd 2.82-2.96
Pd 0.0000 0.5000 0.1283 (multiplicity 4)  8 Pd 2.96-2.99, 4 La 2.99-3.01
Pd 0.0000 0.5000 0.3865 (multiplicity 4)  8 Pd 2.82-3.01, 2 Sc 2.82, 2 La 2.99
Pd 0.5000 0.5000 0.0000 (multiplicity 1)  4 La 2.96, 8 Pd 2.99
Pd 0.5000 0.5000 0.2567 (multiplicity 2)  4 La 2.96, 8 Pd 2.99-3.01
Pd 0.5000 0.5000 0.5000 (multiplicity 1)  8 Pd 2.82, 4 Sc 2.96

Output
Total moment (μB per formula unit): 0.0
Calculated total energy (eV/cell): -96.3